# CdInSnHg, relaxed, DFT GGA-PBE
# energy relative to the elements = 89 meV/atom
# excess energy over the best structure of this formula in the dataset = 51 meV/atom
data_CdInSnHg
_chemical_formula_sum 'Cd1 In1 Sn1 Hg1'
_cell_length_a 5.291
_cell_length_b 5.291
_cell_length_c 5.291
_cell_angle_alpha 60.00
_cell_angle_beta 60.00
_cell_angle_gamma 60.00
_symmetry_space_group_name_H-M 'P 1'
_symmetry_Int_Tables_number 1
_symmetry_space_group_name_Hall 'P 1'
loop_
_atom_site_label
_atom_site_type_symbol
_atom_site_fract_x
_atom_site_fract_y
_atom_site_fract_z
Cd1 Cd 0.000 0.000 0.000
In1 In 0.500 0.500 0.500
Sn1 Sn 0.250 0.250 0.250
Hg1 Hg 0.750 0.750 0.750